No. 1
PBE CaDyGaAg, relaxed; energy = -3.5383 eV/atom; size of the total moment = 0.0 μB per formula unit; DOS(E_F) = 0.7885 states/eV per atom; distance to the lowest polymorph of the same formula = 4.7 meV/atom
1.0
7.274 0.000 0.000
0.000 7.274 0.000
0.000 0.000 7.274
Ca Dy Ga Ag
4 4 4 4
Direct
0.000 0.000 0.000
0.000 0.500 0.500
0.500 0.000 0.500
0.500 0.500 0.000
0.000 0.000 0.500
0.000 0.500 0.000
0.500 0.000 0.000
0.500 0.500 0.500
0.250 0.250 0.750
0.250 0.750 0.250
0.750 0.250 0.250
0.750 0.750 0.750
0.250 0.250 0.250
0.250 0.750 0.750
0.750 0.250 0.750
0.750 0.750 0.250

No. 2
PBE Tl2ZnSe, relaxed; energy = -2.3768 eV/atom; size of the total moment = 0.0 μB per formula unit; DOS(E_F) = 0.0000 states/eV per atom; formation energy (no corrections) = 0.00 eV per atom; distance to the lowest polymorph of the same formula = 180.9 meV/atom
1.0
7.075 0.000 0.000
0.000 7.075 0.000
0.000 0.000 11.405
Tl Zn Se
8 4 4
Direct
0.244 0.250 0.125
0.250 0.744 0.375
0.250 0.756 0.875
0.256 0.250 0.625
0.744 0.750 0.625
0.750 0.244 0.875
0.750 0.256 0.375
0.756 0.750 0.125
0.000 0.000 0.000
0.000 0.500 0.250
0.500 0.000 0.750
0.500 0.500 0.500
0.000 0.000 0.500
0.000 0.500 0.750
0.500 0.000 0.250
0.500 0.500 0.000

No. 3
PBE Mg2MoAs, relaxed; energy = -4.5110 eV/atom; size of the total moment = 0.0 μB per formula unit; DOS(E_F) = 0.8990 states/eV per atom
1.0
3.646 0.000 0.000
0.000 3.646 0.000
0.000 0.000 5.334
Mg Mo As
2 1 1
Direct
0.000 0.000 0.243
0.000 0.000 0.757
0.500 0.500 0.000
0.500 0.500 0.500

No. 4
PBE Hf3ScFe8, relaxed; energy = -8.9923 eV/atom; size of the total moment = 12.8 μB per formula unit; DOS(E_F) = 0.5431 states/eV per atom
1.0
2.468 1.425 8.067
-2.468 1.425 8.067
0.000 -2.850 8.067
Hf Sc Fe
3 1 8
Direct
0.000 0.000 0.000
0.126 0.126 0.126
0.502 0.502 0.502
0.626 0.626 0.626
0.063 0.063 0.562
0.063 0.562 0.063
0.064 0.563 0.563
0.313 0.313 0.313
0.562 0.063 0.063
0.563 0.064 0.563
0.563 0.563 0.064
0.813 0.813 0.813